Here is a relaxed structure of K3Zr4Ag2F23 from OQMD. Energies are from GGA-PBE.

Summary:
Crystal system: monoclinic
V in Å³/atom: 12.91
Energy in eV per cell: -366.77
Size of the total moment in μB per formula unit: 2.0

Cell lengths 7.7880, 10.6425, 10.0467 Å; angles 90.00, 97.08, 90.00 degrees
With the nearest neighbours (Å) after each atom.
Element x y z (fractional)
F 0.3742 0.0218 0.9229  1 Zr 2.05, 1 Ag 2.19
K 0.2104 0.9692 0.1314  5 F 2.48-2.64
F 0.8926 0.8436 0.0749  2 Zr 2.16-2.19, 1 F 2.38
F 0.1972 0.2028 0.1814  2 Zr 2.11-2.14
Zr 0.9721 0.8116 0.4523  8 F 2.00-2.19
F 0.7623 0.6405 0.0607  2 Zr 2.13-2.19, 1 F 2.38
Zr 0.6562 0.6979 0.6584  8 F 2.01-2.21
F 0.5264 0.8714 0.7125  1 Ag 2.05, 1 Zr 2.21
F 0.8028 0.7028 0.3186  2 Zr 2.11-2.14
F 0.5264 0.6286 0.2125  1 Ag 2.05, 1 Zr 2.21
F 0.5261 0.2728 0.4994  1 Zr 2.02
F 0.8432 0.3604 0.1590  1 Zr 2.00
K 0.2104 0.5308 0.6314  5 F 2.48-2.64
F 0.8432 0.1396 0.6590  1 Zr 2.00
F 0.9091 0.1346 0.0964  1 Ag 2.06, 1 Zr 2.18
F 0.8028 0.7972 0.8186  2 Zr 2.11-2.14
F 0.8368 0.2976 0.8906  1 Zr 2.04, 1 Ag 2.20
K 0.5000 0.0000 0.5000  6 F 2.52-2.72
Zr 0.6562 0.8021 0.1584  8 F 2.01-2.21
F 0.4761 0.8617 0.2703  1 Zr 2.01
F 0.1074 0.3436 0.4251  2 Zr 2.16-2.19, 1 F 2.38
F 0.2377 0.3595 0.9393  2 Zr 2.13-2.19, 1 F 2.38
F 0.6258 0.9782 0.0771  1 Zr 2.05, 1 Ag 2.19
F 0.0909 0.6346 0.4036  1 Ag 2.06, 1 Zr 2.18
F 0.9091 0.3654 0.5964  1 Ag 2.06, 1 Zr 2.18
F 0.8926 0.6564 0.5749  2 Zr 2.16-2.19, 1 F 2.38
F 0.1972 0.2972 0.6814  2 Zr 2.11-2.14
F 0.4739 0.7272 0.5006  1 Zr 2.02
Zr 0.0279 0.1884 0.5477  8 F 2.00-2.19
Ag 0.6942 0.3528 0.6967  4 F 2.05-2.20
F 0.5239 0.1383 0.7297  1 Zr 2.01
Zr 0.0279 0.3116 0.0477  8 F 2.00-2.19
F 0.1568 0.8604 0.3410  1 Zr 2.00
F 0.1632 0.7976 0.6094  1 Zr 2.04, 1 Ag 2.20
F 0.1568 0.6396 0.8410  1 Zr 2.00
F 0.4761 0.6383 0.7703  1 Zr 2.01
Ag 0.3058 0.8528 0.8033  4 F 2.05-2.20
F 0.2377 0.1405 0.4393  2 Zr 2.13-2.19, 1 F 2.38
F 0.8084 0.9245 0.3041  2 Zr 2.19, 2 F 2.36-2.45
F 0.0000 0.5000 0.0000  2 Zr 2.07
K 0.5000 0.5000 0.0000  6 F 2.52-2.72
F 0.4736 0.3714 0.7875  1 Ag 2.05, 1 Zr 2.21
F 0.1632 0.7024 0.1094  1 Zr 2.04, 1 Ag 2.20
F 0.0909 0.8654 0.9036  1 Ag 2.06, 1 Zr 2.18
K 0.7896 0.4692 0.3686  5 F 2.48-2.64
F 0.6258 0.5218 0.5771  1 Zr 2.05, 1 Ag 2.19
F 0.1916 0.4245 0.1959  2 Zr 2.19, 2 F 2.36-2.45
F 0.8368 0.2024 0.3906  1 Zr 2.04, 1 Ag 2.20
F 0.0000 0.0000 0.5000  2 Zr 2.07
K 0.7896 0.0308 0.8686  5 F 2.48-2.64
F 0.3742 0.4782 0.4229  1 Zr 2.05, 1 Ag 2.19
F 0.5239 0.3617 0.2297  1 Zr 2.01
Ag 0.3058 0.6472 0.3033  4 F 2.05-2.20
Zr 0.3438 0.3021 0.3416  8 F 2.01-2.21
Zr 0.3438 0.1979 0.8416  8 F 2.01-2.21
F 0.5261 0.2272 0.9994  1 Zr 2.02
F 0.4736 0.1286 0.2875  1 Ag 2.05, 1 Zr 2.21
F 0.7623 0.8595 0.5607  2 Zr 2.13-2.19, 1 F 2.38
F 0.1916 0.0755 0.6959  2 Zr 2.19, 2 F 2.36-2.45
Zr 0.9721 0.6884 0.9523  8 F 2.00-2.19
F 0.4739 0.7728 0.0006  1 Zr 2.02
Ag 0.6942 0.1472 0.1967  4 F 2.05-2.20
F 0.1074 0.1564 0.9251  2 Zr 2.16-2.19, 1 F 2.38
F 0.8084 0.5755 0.8041  2 Zr 2.19, 2 F 2.36-2.45